1.
Material: CeHCl2
Method: DFT, GGA-PBE
State: optimized geometry

SG: Fmmm, No. 69
N(E_F) (states/eV/atom): 1.58
E_tot (eV/atom): -4.67

a b c (Å): 6.147 6.147 5.881
angles (deg): 115.37 115.37 100.38
Last column: magnetic moment on the atom in μB.
Element x y z (fractional)
Ce: 0.795 0.795 0.590  0.95
Ce: 0.205 0.205 0.410  0.95
H: 0.874 0.126 0.000  -0.01
H: 0.126 0.874 0.000  -0.01
Cl: 0.699 0.699 0.000  -0.01
Cl: 0.301 0.301 0.000  -0.01
Cl: 0.750 0.250 0.500  -0.01
Cl: 0.250 0.750 0.500  -0.01


2.
Material: Ce2HCl5
Method: DFT, GGA-PBE
State: optimized geometry

SG: Cmcm, No. 63
N(E_F) (states/eV/atom): 1.02
E_tot (eV/atom): -4.75

a b c (Å): 3.580 6.969 18.990
angles (deg): 90.00 90.00 104.88
Last column: magnetic moment on the atom in μB.
Element x y z (fractional)
Cl: 0.660 0.321 0.572  -0.01
Cl: 0.340 0.679 0.428  -0.01
Cl: 0.370 0.740 0.250  -0.02
Cl: 0.096 0.193 0.387  -0.01
Cl: 0.660 0.321 0.928  -0.01
Cl: 0.340 0.679 0.072  -0.01
Cl: 0.630 0.260 0.750  -0.02
Cl: 0.096 0.193 0.113  -0.01
Cl: 0.904 0.807 0.613  -0.01
Cl: 0.904 0.807 0.887  -0.01
Ce: 0.739 0.478 0.155  0.94
Ce: 0.739 0.478 0.345  0.94
Ce: 0.261 0.522 0.655  0.94
Ce: 0.261 0.522 0.845  0.94
H: 0.818 0.635 0.750  -0.01
H: 0.182 0.365 0.250  -0.01


3.
Material: Ce2HCl
Method: DFT, GGA-PBE
State: optimized geometry

SG: R3m, No. 160
N(E_F) (states/eV/atom): 1.93
E_tot (eV/atom): -5.08

a b c (Å): 3.490 3.490 7.818
angles (deg): 77.10 77.10 60.00
Last column: magnetic moment on the atom in μB.
Element x y z (fractional)
H: 0.668 0.668 0.996  -0.01
Ce: 0.266 0.266 0.201  0.89
Ce: 0.068 0.068 0.797  0.80
Cl: 0.498 0.498 0.506  -0.01


4.
Material: CeH2Cl4
Method: DFT, GGA-PBE
State: optimized geometry

SG: P-1, No. 2
N(E_F) (states/eV/atom): 1.14
E_tot (eV/atom): -3.88

a b c (Å): 4.192 8.226 6.852
angles (deg): 53.67 95.94 90.97
Last column: magnetic moment on the atom in μB.
Element x y z (fractional)
H: 0.562 0.755 0.486  0.03
H: 0.438 0.245 0.514  0.03
Cl: 0.105 0.257 0.489  0.02
Cl: 0.508 0.222 0.005  -0.01
Cl: 0.492 0.778 0.995  -0.01
Cl: 0.895 0.743 0.511  0.02
Ce: 0.000 0.000 0.000  1.21


5.
Material: CeH2Cl6
Method: DFT, GGA-PBE
State: optimized geometry

SG: C2/c, No. 15
E_tot (eV/atom): -3.86

a b c (Å): 4.198 12.080 12.080
angles (deg): 96.83 71.76 71.76
Element x y z (fractional)
Cl: 0.903 0.565 0.717
Cl: 0.544 0.358 0.869
Cl: 0.966 0.789 0.974
Cl: 0.044 0.869 0.358
Cl: 0.097 0.435 0.283
Cl: 0.403 0.717 0.565
Cl: 0.034 0.211 0.026
Cl: 0.466 0.974 0.789
Cl: 0.956 0.131 0.642
Cl: 0.597 0.283 0.435
Cl: 0.534 0.026 0.211
Cl: 0.456 0.642 0.131
H: 0.612 0.664 0.620
H: 0.388 0.336 0.380
H: 0.112 0.620 0.664
H: 0.888 0.380 0.336
Ce: 0.250 0.195 0.805
Ce: 0.750 0.805 0.195


6.
Material: CeHCl2
Method: DFT, GGA-PBE
State: optimized geometry

SG: R3m, No. 160
N(E_F) (states/eV/atom): 1.61
E_tot (eV/atom): -4.95

a b c (Å): 3.966 3.967 7.324
angles (deg): 74.25 74.29 60.00
Last column: magnetic moment on the atom in μB.
Element x y z (fractional)
H: 0.469 0.232 0.829  -0.01
Cl: 0.887 0.651 0.575  -0.01
Cl: 0.718 0.480 0.084  -0.01
Ce: 0.136 0.899 0.829  0.95


Values for V, Å³ per cell, ordered as above
162 458 80 189 536 95
Values for theoretical density, kg/m3, ordered as above
4336 3325 6602 2494 2197 3715